# 1
{
  "formula": "Mg2PHO5",
  "functional": "GGA-PBEsol",
  "state": "relaxed",
  "sg": "Pnma (62)",
  "dos_ef_per_ev_fu": 0.0,
  "e_tot_ev_per_atom": -6.72,
  "lattice": [[-3.092, 0.396, -5.303], [0.233, -7.325, -0.683], [-7.168, -0.613, 4.133]],
  "species": ["Mg", "Mg", "Mg", "Mg", "Mg", "Mg", "Mg", "Mg", "O", "O", "O", "O", "O", "O", "O", "O", "O", "O", "O", "O", "O", "O", "O", "O", "O", "O", "O", "O", "P", "P", "P", "P", "H", "H", "H", "H"],
  "frac_coords": [[0.250, 0.577, 0.822], [0.750, 0.423, 0.178], [0.250, 0.923, 0.322], [0.750, 0.077, 0.678], [0.000, 0.500, 0.500], [0.500, 0.000, 0.000], [0.500, 0.500, 0.500], [0.000, 0.000, 0.000], [0.750, 0.945, 0.477], [0.750, 0.186, 0.041], [0.750, 0.314, 0.541], [0.045, 0.125, 0.780], [0.750, 0.627, 0.366], [0.250, 0.445, 0.023], [0.955, 0.625, 0.720], [0.455, 0.125, 0.780], [0.250, 0.686, 0.459], [0.250, 0.055, 0.523], [0.045, 0.375, 0.280], [0.250, 0.373, 0.634], [0.545, 0.875, 0.220], [0.955, 0.875, 0.220], [0.250, 0.814, 0.959], [0.455, 0.375, 0.280], [0.545, 0.625, 0.720], [0.750, 0.873, 0.866], [0.250, 0.127, 0.134], [0.750, 0.555, 0.977], [0.250, 0.335, 0.177], [0.750, 0.665, 0.823], [0.250, 0.165, 0.677], [0.750, 0.835, 0.323], [0.750, 0.229, 0.449], [0.250, 0.771, 0.551], [0.750, 0.271, 0.949], [0.250, 0.729, 0.051]]
}


# 2
{
  "formula": "MgP2H16O10",
  "functional": "GGA-PBEsol",
  "state": "relaxed",
  "sg": "P4_2/nmc (137)",
  "dos_ef_per_ev_fu": 0.0,
  "e_tot_ev_per_atom": -5.27,
  "lattice": [[-0.854, -3.553, 6.140], [-2.047, -5.797, -3.640], [9.775, -3.157, -0.468]],
  "species": ["P", "P", "P", "P", "O", "O", "O", "O", "O", "O", "O", "O", "O", "O", "O", "O", "O", "O", "O", "O", "O", "O", "O", "O", "H", "H", "H", "H", "H", "H", "H", "H", "H", "H", "H", "H", "H", "H", "H", "H", "H", "H", "H", "H", "H", "H", "H", "H", "H", "H", "H", "H", "H", "H", "H", "H", "Mg", "Mg"],
  "frac_coords": [[0.000, 0.500, 0.742], [0.500, 0.000, 0.758], [0.000, 0.500, 0.242], [0.500, 0.000, 0.258], [0.819, 0.500, 0.662], [0.000, 0.000, 0.700], [0.500, 0.181, 0.338], [0.181, 0.500, 0.662], [0.681, 0.000, 0.838], [0.205, 0.205, 0.500], [0.295, 0.705, 0.000], [0.705, 0.705, 0.000], [0.205, 0.795, 0.500], [0.500, 0.500, 0.200], [0.795, 0.205, 0.500], [0.795, 0.795, 0.500], [0.319, 0.000, 0.838], [0.705, 0.295, 0.000], [0.500, 0.500, 0.800], [0.000, 0.000, 0.300], [0.500, 0.819, 0.338], [0.000, 0.319, 0.162], [0.000, 0.681, 0.162], [0.295, 0.295, 0.000], [0.115, 0.000, 0.755], [0.000, 0.658, 0.826], [0.817, 0.295, 0.058], [0.705, 0.817, 0.942], [0.000, 0.115, 0.245], [0.500, 0.158, 0.674], [0.795, 0.683, 0.558], [0.317, 0.795, 0.442], [0.183, 0.705, 0.058], [0.500, 0.842, 0.674], [0.500, 0.385, 0.255], [0.683, 0.795, 0.442], [0.317, 0.205, 0.442], [0.842, 0.500, 0.326], [0.295, 0.183, 0.942], [0.500, 0.615, 0.255], [0.683, 0.205, 0.442], [0.705, 0.183, 0.942], [0.615, 0.500, 0.745], [0.885, 0.000, 0.755], [0.342, 0.000, 0.174], [0.158, 0.500, 0.326], [0.658, 0.000, 0.174], [0.795, 0.317, 0.558], [0.183, 0.295, 0.058], [0.000, 0.885, 0.245], [0.385, 0.500, 0.745], [0.000, 0.342, 0.826], [0.205, 0.317, 0.558], [0.817, 0.705, 0.058], [0.205, 0.683, 0.558], [0.295, 0.817, 0.942], [0.500, 0.500, 0.000], [0.000, 0.000, 0.500]]
}


# 3
{
  "formula": "Mg3P2H16O16",
  "functional": "GGA-PBEsol",
  "state": "relaxed",
  "sg": "C2/m (12)",
  "polymorph_energy_mev_per_atom": 5,
  "dos_ef_per_ev_fu": 0.0,
  "lattice": [[4.634, -0.005, -0.007], [-1.337, 8.095, 0.094], [-1.337, -2.395, 7.733]],
  "species": ["Mg", "Mg", "Mg", "H", "H", "H", "H", "H", "H", "H", "H", "H", "H", "H", "H", "H", "H", "H", "H", "O", "O", "O", "O", "O", "O", "O", "O", "O", "O", "O", "O", "O", "O", "O", "O", "P", "P"],
  "frac_coords": [[0.000, 0.614, 0.386], [0.000, 0.000, 0.000], [0.000, 0.386, 0.614], [0.965, 0.065, 0.317], [0.495, 0.824, 0.426], [0.495, 0.426, 0.824], [0.635, 0.045, 0.207], [0.717, 0.757, 0.185], [0.035, 0.683, 0.935], [0.283, 0.243, 0.815], [0.717, 0.185, 0.757], [0.365, 0.955, 0.793], [0.365, 0.793, 0.955], [0.035, 0.935, 0.683], [0.635, 0.207, 0.045], [0.965, 0.317, 0.065], [0.505, 0.176, 0.574], [0.283, 0.815, 0.243], [0.505, 0.574, 0.176], [0.288, 0.366, 0.823], [0.222, 0.240, 0.440], [0.191, 0.786, 0.015], [0.809, 0.214, 0.985], [0.778, 0.560, 0.760], [0.713, 0.401, 0.401], [0.288, 0.823, 0.366], [0.809, 0.985, 0.214], [0.778, 0.760, 0.560], [0.385, 0.157, 0.157], [0.287, 0.599, 0.599], [0.712, 0.177, 0.634], [0.222, 0.440, 0.240], [0.615, 0.843, 0.843], [0.712, 0.634, 0.177], [0.191, 0.015, 0.786], [0.384, 0.314, 0.314], [0.616, 0.686, 0.686]]
}


# 4
{
  "formula": "Mg3P2H16O16",
  "functional": "GGA-PBEsol",
  "state": "relaxed",
  "sg": "C2/c (15)",
  "polymorph_energy_mev_per_atom": 0,
  "dos_ef_per_ev_fu": 0.0,
  "lattice": [[-0.366, -1.195, 4.469], [9.354, -2.471, 2.200], [2.341, 12.186, 5.860]],
  "species": ["P", "P", "P", "P", "H", "H", "H", "H", "H", "H", "H", "H", "H", "H", "H", "H", "H", "H", "H", "H", "H", "H", "H", "H", "H", "H", "H", "H", "H", "H", "H", "H", "H", "H", "H", "H", "O", "O", "O", "O", "O", "O", "O", "O", "O", "O", "O", "O", "O", "O", "O", "O", "O", "O", "O", "O", "O", "O", "O", "O", "O", "O", "O", "O", "O", "O", "O", "O", "Mg", "Mg", "Mg", "Mg", "Mg", "Mg"],
  "frac_coords": [[0.295, 0.436, 0.263], [0.705, 0.564, 0.737], [0.558, 0.936, 0.737], [0.442, 0.064, 0.263], [0.534, 0.562, 0.381], [0.919, 0.880, 0.178], [0.194, 0.957, 0.150], [0.337, 0.376, 0.076], [0.017, 0.721, 0.463], [0.821, 0.625, 0.336], [0.081, 0.120, 0.822], [0.210, 0.351, 0.975], [0.815, 0.149, 0.975], [0.142, 0.374, 0.454], [0.084, 0.938, 0.381], [0.806, 0.043, 0.850], [0.405, 0.126, 0.454], [0.902, 0.620, 0.178], [0.587, 0.124, 0.076], [0.179, 0.375, 0.664], [0.983, 0.279, 0.537], [0.185, 0.851, 0.025], [0.843, 0.875, 0.336], [0.520, 0.779, 0.463], [0.413, 0.876, 0.924], [0.663, 0.624, 0.924], [0.344, 0.457, 0.850], [0.466, 0.438, 0.619], [0.480, 0.221, 0.537], [0.858, 0.626, 0.546], [0.595, 0.874, 0.546], [0.157, 0.125, 0.664], [0.790, 0.649, 0.025], [0.656, 0.543, 0.150], [0.098, 0.380, 0.822], [0.916, 0.062, 0.619], [0.568, 0.156, 0.481], [0.054, 0.350, 0.262], [0.702, 0.908, 0.832], [0.597, 0.908, 0.260], [0.466, 0.592, 0.832], [0.833, 0.647, 0.951], [0.316, 0.850, 0.738], [0.951, 0.344, 0.481], [0.434, 0.410, 0.359], [0.029, 0.848, 0.368], [0.142, 0.592, 0.260], [0.862, 0.138, 0.851], [0.167, 0.353, 0.049], [0.684, 0.150, 0.262], [0.298, 0.092, 0.168], [0.858, 0.408, 0.740], [0.784, 0.147, 0.049], [0.946, 0.650, 0.738], [0.713, 0.638, 0.149], [0.793, 0.910, 0.641], [0.138, 0.862, 0.149], [0.604, 0.652, 0.368], [0.566, 0.590, 0.641], [0.287, 0.362, 0.851], [0.534, 0.408, 0.168], [0.049, 0.656, 0.519], [0.396, 0.348, 0.632], [0.207, 0.090, 0.359], [0.403, 0.092, 0.740], [0.216, 0.853, 0.951], [0.971, 0.152, 0.632], [0.432, 0.844, 0.519], [0.373, 0.750, 0.255], [0.075, 0.750, 0.851], [0.925, 0.250, 0.149], [0.814, 0.250, 0.372], [0.627, 0.250, 0.745], [0.186, 0.750, 0.628]]
}


# 5
{
  "formula": "Rb2MgP4H8O16",
  "functional": "GGA-PBEsol",
  "state": "relaxed",
  "sg": "P-1 (2)",
  "dos_ef_per_ev_fu": 0.0,
  "e_tot_ev_per_atom": -6.32,
  "lattice": [[6.932, -0.001, -0.117], [0.566, 7.413, -0.017], [2.503, 0.977, 7.180]],
  "species": ["O", "O", "O", "O", "O", "O", "O", "O", "O", "O", "O", "O", "O", "O", "O", "O", "Rb", "Rb", "Mg", "H", "H", "H", "H", "H", "H", "H", "H", "P", "P", "P", "P"],
  "frac_coords": [[0.257, 0.925, 0.159], [0.442, 0.212, 0.569], [0.190, 0.608, 0.115], [0.237, 0.996, 0.841], [0.245, 0.669, 0.417], [0.239, 0.333, 0.871], [0.763, 0.004, 0.159], [0.067, 0.707, 0.774], [0.761, 0.667, 0.129], [0.810, 0.392, 0.885], [0.076, 0.226, 0.646], [0.743, 0.075, 0.841], [0.755, 0.331, 0.583], [0.558, 0.788, 0.431], [0.933, 0.293, 0.226], [0.924, 0.774, 0.354], [0.609, 0.730, 0.792], [0.391, 0.270, 0.208], [0.000, 0.500, 0.000], [0.877, 0.179, 0.209], [0.576, 0.266, 0.583], [0.244, 0.961, 0.021], [0.871, 0.313, 0.358], [0.123, 0.821, 0.791], [0.129, 0.687, 0.642], [0.756, 0.039, 0.979], [0.424, 0.734, 0.417], [0.836, 0.263, 0.745], [0.746, 0.808, 0.256], [0.164, 0.737, 0.255], [0.254, 0.192, 0.744]]
}


# 6
{
  "formula": "MgTlPH12O10",
  "functional": "GGA-PBEsol",
  "state": "relaxed",
  "sg": "Pmn2_1 (31)",
  "dos_ef_per_ev_fu": 0.0,
  "e_tot_ev_per_atom": -5.50,
  "lattice": [[6.072, 0.000, 0.000], [0.000, 6.814, 0.000], [0.000, 0.000, 11.153]],
  "species": ["H", "H", "H", "H", "H", "H", "H", "H", "H", "H", "H", "H", "H", "H", "H", "H", "H", "H", "H", "H", "H", "H", "H", "H", "O", "O", "O", "O", "O", "O", "O", "O", "O", "O", "O", "O", "O", "O", "O", "O", "O", "O", "O", "O", "Tl", "Tl", "P", "P", "Mg", "Mg"],
  "frac_coords": [[0.629, 0.753, 0.987], [0.829, 0.500, 0.150], [0.168, 0.171, 0.189], [0.168, 0.829, 0.189], [0.989, 0.620, 0.003], [0.797, 0.207, 0.814], [0.371, 0.747, 0.487], [0.011, 0.120, 0.503], [0.797, 0.793, 0.814], [0.203, 0.707, 0.314], [0.989, 0.380, 0.003], [0.376, 0.175, 0.971], [0.832, 0.329, 0.689], [0.272, 0.000, 0.785], [0.171, 0.000, 0.650], [0.832, 0.671, 0.689], [0.376, 0.825, 0.971], [0.624, 0.675, 0.471], [0.629, 0.247, 0.987], [0.011, 0.880, 0.503], [0.728, 0.500, 0.285], [0.371, 0.253, 0.487], [0.203, 0.293, 0.314], [0.624, 0.325, 0.471], [0.268, 0.730, 0.231], [0.688, 0.500, 0.197], [0.769, 0.500, 0.428], [0.876, 0.813, 0.950], [0.124, 0.313, 0.450], [0.529, 0.208, 0.495], [0.952, 0.000, 0.547], [0.268, 0.270, 0.231], [0.876, 0.187, 0.950], [0.471, 0.708, 0.995], [0.124, 0.687, 0.450], [0.529, 0.792, 0.495], [0.032, 0.000, 0.128], [0.471, 0.292, 0.995], [0.231, 0.000, 0.928], [0.732, 0.230, 0.731], [0.048, 0.500, 0.047], [0.968, 0.500, 0.628], [0.312, 0.000, 0.697], [0.732, 0.770, 0.731], [0.609, 0.000, 0.277], [0.391, 0.500, 0.777], [0.998, 0.500, 0.491], [0.002, 0.000, 0.991], [0.625, 0.000, 0.621], [0.375, 0.500, 0.121]]
}


# 7
{
  "formula": "MgV2P2H8O14",
  "functional": "GGA-PBEsol",
  "state": "relaxed",
  "sg": "I4/m (87)",
  "e_tot_ev_per_atom": -6.71,
  "lattice": [[-4.269, -3.697, -2.662], [3.880, -1.041, -4.779], [2.742, -2.888, 6.931]],
  "species": ["H", "H", "H", "H", "H", "H", "H", "H", "O", "O", "O", "O", "O", "O", "O", "O", "O", "O", "O", "O", "O", "O", "V", "V", "Mg", "P", "P"],
  "frac_coords": [[0.537, 0.727, 0.806], [0.151, 0.958, 0.564], [0.081, 0.535, 0.806], [0.960, 0.414, 0.564], [0.607, 0.149, 0.564], [0.728, 0.271, 0.806], [0.416, 0.605, 0.564], [0.272, 0.080, 0.806], [0.568, 0.660, 0.685], [0.503, 0.221, 0.046], [0.827, 0.501, 0.047], [0.026, 0.567, 0.685], [0.141, 0.860, 0.324], [0.119, 0.025, 0.685], [0.465, 0.140, 0.324], [0.686, 0.684, 0.369], [0.185, 0.464, 0.324], [0.861, 0.184, 0.324], [0.002, 0.001, 0.001], [0.222, 0.545, 0.047], [0.547, 0.826, 0.046], [0.661, 0.118, 0.685], [0.122, 0.121, 0.242], [0.565, 0.564, 0.128], [0.844, 0.843, 0.685], [0.594, 0.093, 0.185], [0.094, 0.593, 0.185]]
}


# 8
{
  "formula": "Rb2MgH12S2O14",
  "functional": "GGA-PBEsol",
  "state": "relaxed",
  "sg": "P2_1/c (14)",
  "dos_ef_per_ev_fu": 0.0,
  "e_tot_ev_per_atom": -5.51,
  "lattice": [[-3.952, -1.665, -4.508], [-4.109, -2.365, 7.751], [-5.312, 11.079, 0.565]],
  "species": ["O", "O", "O", "O", "O", "O", "O", "O", "O", "O", "O", "O", "O", "O", "O", "O", "O", "O", "O", "O", "O", "O", "O", "O", "O", "O", "O", "O", "H", "H", "H", "H", "H", "H", "H", "H", "H", "H", "H", "H", "H", "H", "H", "H", "H", "H", "H", "H", "H", "H", "H", "H", "S", "S", "S", "S", "Rb", "Rb", "Rb", "Rb", "Mg", "Mg"],
  "frac_coords": [[0.601, 0.275, 0.932], [0.294, 0.991, 0.068], [0.836, 0.833, 0.111], [0.231, 0.954, 0.426], [0.060, 0.625, 0.176], [0.416, 0.586, 0.234], [0.294, 0.491, 0.432], [0.584, 0.914, 0.734], [0.706, 0.009, 0.932], [0.399, 0.725, 0.068], [0.706, 0.509, 0.568], [0.164, 0.667, 0.611], [0.014, 0.828, 0.886], [0.986, 0.672, 0.386], [0.231, 0.454, 0.074], [0.399, 0.225, 0.432], [0.014, 0.328, 0.614], [0.986, 0.172, 0.114], [0.940, 0.875, 0.676], [0.836, 0.333, 0.389], [0.601, 0.775, 0.568], [0.769, 0.046, 0.574], [0.060, 0.125, 0.324], [0.940, 0.375, 0.824], [0.164, 0.167, 0.889], [0.584, 0.414, 0.766], [0.416, 0.086, 0.266], [0.769, 0.546, 0.926], [0.678, 0.282, 0.408], [0.678, 0.782, 0.092], [0.322, 0.218, 0.908], [0.918, 0.723, 0.901], [0.082, 0.277, 0.099], [0.322, 0.718, 0.592], [0.915, 0.254, 0.373], [0.915, 0.754, 0.127], [0.327, 0.025, 0.145], [0.342, 0.895, 0.061], [0.658, 0.105, 0.939], [0.673, 0.975, 0.855], [0.085, 0.246, 0.873], [0.082, 0.777, 0.401], [0.673, 0.475, 0.645], [0.342, 0.395, 0.439], [0.658, 0.605, 0.561], [0.017, 0.150, 0.191], [0.017, 0.650, 0.309], [0.983, 0.350, 0.691], [0.918, 0.223, 0.599], [0.085, 0.746, 0.627], [0.983, 0.850, 0.809], [0.327, 0.525, 0.355], [0.726, 0.904, 0.638], [0.274, 0.596, 0.138], [0.726, 0.404, 0.862], [0.274, 0.096, 0.362], [0.662, 0.868, 0.346], [0.338, 0.132, 0.654], [0.338, 0.632, 0.846], [0.662, 0.368, 0.154], [0.000, 0.000, 0.000], [0.000, 0.500, 0.500]]
}